Record 1
SCAN Hg2OsWO, PBEsol geometry; N(E_F) = 3.6 states/eV/f.u.; SG = P4/mmm, No. 123; energy relative to the elements, uncorrected = 1.136 eV per atom
1.0
5.260 0.000 0.000
0.000 5.260 0.000
0.000 0.000 3.574
Hg Os W O
2 1 1 1
direct
0.000 0.500 0.000
0.500 0.000 0.000
0.000 0.000 0.000
0.500 0.500 0.500
0.000 0.000 0.500

Record 2
SCAN YZrZn4, PBEsol geometry; formation energy from the elements = -375 meV/atom; N(E_F) = 5.3 states/eV/f.u.; SG = F-43m, No. 216
1.0
0.000 3.718 3.718
3.718 0.000 3.718
3.718 3.718 0.000
Y Zr Zn
1 1 4
direct
0.000 0.000 0.000
0.750 0.750 0.750
0.376 0.376 0.376
0.376 0.376 0.872
0.376 0.872 0.376
0.872 0.376 0.376

Record 3
SCAN SrReC3, PBEsol geometry; formation energy from the elements = 873 meV/atom; N(E_F) = 3.2 states/eV/f.u.; SG = Pm-3m, No. 221
1.0
4.061 0.000 0.000
0.000 4.061 0.000
0.000 0.000 4.061
Sr Re C
1 1 3
direct
0.000 0.000 0.000
0.500 0.500 0.500
0.000 0.500 0.500
0.500 0.000 0.500
0.500 0.500 0.000

| no. | E (Ry per atom) | V (Å³/atom) |
| --- | --- | --- |
| 1 | -4.093 | 19.77 |
| 2 | -1.407 | 17.13 |
| 3 | -1.754 | 13.40 |